Entry 1:
First-principles (PBE-GGA) data for a geometry-optimized BaLa2ZnSi structure, as listed in the Alexandria database.

abc: 5.852 4.698 5.852
angles: 90.00 90.00 90.00
Fractional positions:
1 Zn 0.000 0.000 0.000
2 Si 0.000 0.500 0.000
3 Ba 0.500 0.500 0.500
4 La 0.000 0.000 0.500
5 La 0.500 0.000 0.000

Raw formation energy ... 0.156 eV per atom

Entry 2:
First-principles (PBE-GGA) data for a geometry-optimized BaLaZn2Si2 structure, as listed in the Alexandria database.

abc: 4.300 4.300 9.303
angles: 90.00 90.00 120.00
Fractional positions:
1 Ba 0.000 0.000 0.000
2 La 0.000 0.000 0.500
3 Zn 0.667 0.333 0.274
4 Zn 0.333 0.667 0.726
5 Si 0.667 0.333 0.725
6 Si 0.333 0.667 0.275

Raw formation energy ... -0.508 eV per atom

DOS(E_F) for the records above, in order: 1.0521 0.7285 states/eV/atom
E_tot for the records above, in order: -17.69 -23.29 eV for the cell shown
Theoretical density for the records above, in order: 5.251 5.164 Mg/m³